Computed, not measured: a geometry-optimized NaMgMo2O8 structure at the GGA+U level of DFT.

Unit cell a=7.1242 b=7.1242 c=6.6931 alpha=90.00 beta=90.00 gamma=90.00
Closest atoms and distances in Å follow each position.
Space group I-4m2 (No. 119)
Unique sites:
Na  0.0000  0.0000  0.0000 [2 per cell]  4 O 2.23
Mg  0.0000  0.5000  0.7500 [2 per cell]  4 O 2.17
Mo  0.0000  0.0000  0.5000 [2 per cell]  4 O 1.81
Mo  0.0000  0.5000  0.2500 [2 per cell]  4 O 1.79
O  0.0000  0.2092  0.6524 [8 per cell]  1 Mo 1.81
O  0.0000  0.3030  0.0840 [8 per cell]  1 Mo 1.79

Properties
**Total magnetization**: 1.10 μB/f.u.
**Electronic total energy**: -6.34 eV/atom
**Fermi-level density of states**: 19.3 states/eV per cell